CrTeAu2: relaxed, GGA-PBE. Values from VASP.

The structure in Quantum ESPRESSO input format:
```
&SYSTEM
  ibrav = 0, nat = 4, ntyp = 3
/
ATOMIC_SPECIES
Au 196.97 Au.upf
Te 127.60 Te.upf
Cr 52.00 Cr.upf
CELL_PARAMETERS angstrom
-1.4343 -2.1979 -2.4093
-1.6926 -1.7535 2.6073
-5.9834 3.1809 0.6604
ATOMIC_POSITIONS angstrom
Au -2.5554 -0.6119 -0.5546
Au -1.6887 -1.1707 2.0732
Te -6.4913 -0.5993 1.7771
Cr -3.9057 0.5715 1.8039
```

Properties
Crystal system   monoclinic
Space group   Pm, No. 6
Calculated total energy   -4.713 eV per atom
Formation energy from raw total energies   117 meV/atom